# 1
Material: Na3Ni2Ge4
Method: DFT, PBE
State: relaxed

Unit cell a=3.990 b=6.111 c=8.439 alpha=108.68 beta=90.00 gamma=109.05
Positions (direct):
Na: 0.375 0.751 0.621
Na: 0.000 0.000 0.000
Na: 0.625 0.249 0.379
Ni: 0.327 0.654 0.221
Ni: 0.673 0.346 0.779
Ge: 0.708 0.415 0.077
Ge: 0.087 0.174 0.642
Ge: 0.913 0.826 0.358
Ge: 0.292 0.585 0.923

Computed properties:
space group = C2/m
formation enthalpy at 0 K = -137.7 meV per atom


# 2
Material: HoAlNi5Ge2
Method: DFT, PBE
State: relaxed

Unit cell a=4.252 b=4.252 c=7.452 alpha=90.00 beta=90.00 gamma=90.00
Positions (direct):
Ho: 0.000 0.000 0.500
Al: 0.000 0.000 0.000
Ni: 0.000 0.500 0.270
Ni: 0.500 0.000 0.270
Ni: 0.000 0.500 0.730
Ni: 0.500 0.000 0.730
Ni: 0.500 0.500 0.500
Ge: 0.500 0.500 0.160
Ge: 0.500 0.500 0.840

Computed properties:
space group = P4/mmm
formation enthalpy at 0 K = -159.8 meV per atom


# 3
Material: Na5SmHg6
Method: DFT, PBE
State: relaxed

Unit cell a=5.319 b=7.457 c=8.328 alpha=90.00 beta=71.38 gamma=90.00
Positions (direct):
Na: 0.665 0.500 0.670
Na: 0.326 0.000 0.348
Na: 0.000 0.500 0.000
Na: 0.674 0.000 0.652
Na: 0.335 0.500 0.330
Hg: 0.838 0.742 0.323
Hg: 0.838 0.258 0.323
Hg: 0.500 0.234 0.000
Hg: 0.500 0.766 0.000
Hg: 0.162 0.742 0.677
Hg: 0.162 0.258 0.677
Sm: 0.000 0.000 0.000

Computed properties:
space group = Cmmm
formation enthalpy at 0 K = -267.0 meV per atom


# 4
Material: KAgCl3
Method: DFT, PBE
State: relaxed

Unit cell a=5.120 b=5.121 c=5.123 alpha=90.02 beta=90.00 gamma=90.01
Positions (direct):
K: 0.000 0.999 0.990
Ag: 0.500 0.498 0.488
Cl: 0.000 0.498 0.487
Cl: 0.500 0.498 0.987
Cl: 0.500 0.998 0.487

Computed properties:
space group = P4mm
formation energy (no corrections) = -1.02 eV per atom


# 5
Material: Ba4PtBr2N
Method: DFT, PBE
State: relaxed

Unit cell a=4.403 b=7.698 c=8.387 alpha=106.42 beta=90.00 gamma=90.00
Positions (direct):
Ba: 0.500 0.268 0.200
Ba: 0.500 0.732 0.800
Ba: 0.000 0.283 0.808
Ba: 0.000 0.717 0.192
Pt: 0.000 0.000 0.000
Br: 0.500 0.000 0.500
Br: 0.000 0.500 0.500
N: 0.500 0.500 0.000

Computed properties:
space group = P2/m
formation energy (no corrections) = -1.19 eV per atom


# 6
Material: Al2CuSi2
Method: DFT, PBE
State: relaxed

Unit cell a=6.175 b=6.175 c=4.079 alpha=90.00 beta=90.00 gamma=90.00
Positions (direct):
Si: 0.364 0.864 0.000
Si: 0.864 0.636 0.000
Si: 0.636 0.136 0.000
Si: 0.136 0.364 0.000
Al: 0.176 0.676 0.500
Al: 0.676 0.824 0.500
Al: 0.824 0.324 0.500
Al: 0.324 0.176 0.500
Cu: 0.000 0.000 0.000
Cu: 0.500 0.500 0.000

Computed properties:
space group = P4/mbm
formation energy (no corrections) = 0.16 eV per atom
polymorph energy (0 for the lowest one) = 0.068 eV/atom


# 7
Material: CaPICl2
Method: DFT, PBE
State: relaxed

Unit cell a=5.052 b=5.052 c=8.873 alpha=90.00 beta=90.00 gamma=90.00
Each line ends with the local moment (μB).
Positions (direct):
I: 0.500 0.500 0.500  -0.05
P: 0.000 0.000 0.500  0.90
Ca: 0.000 0.000 0.000  0.00
Cl: 0.000 0.500 0.000  0.00
Cl: 0.500 0.000 0.000  0.00

Computed properties:
space group = P4/mmm
formation energy (no corrections) = -0.56 eV per atom
polymorph energy (0 for the lowest one) = 0.000 eV/atom


# 8
Material: Ta2RhCl
Method: DFT, PBE
State: relaxed

Unit cell a=3.106 b=5.256 c=4.210 alpha=90.00 beta=90.00 gamma=90.00
Positions (direct):
Cl: 0.500 0.000 0.500
Rh: 0.000 0.500 0.500
Ta: 0.000 0.000 0.000
Ta: 0.500 0.500 0.000

Computed properties:
space group = Pmmm
formation energy (no corrections) = 0.40 eV per atom
polymorph energy (0 for the lowest one) = 0.619 eV/atom


The calculation returns the following V values, one per record and in order: 20.3; 15.0; 26.1; 26.9; 34.1; 15.6; 45.3; 17.2 Å³ per atom.